Entry from Alexandria: NdYGe4 after structural relaxation (GGA-PBE).

Summary:
Density (g/cm³): 6.66
Space-group type: No. 216
Final energy (eV per atom): -5.2913
Total magnetic moment (μB per atom): 0.003

Unit cell a=5.6936 b=5.6936 c=5.6936 alpha=60.00 beta=60.00 gamma=60.00
Element x y z (fractional)
Nd  0.0000  0.0000  0.0000
Y  0.2500  0.2500  0.2500
Ge  0.1288  0.6237  0.6237
Ge  0.6237  0.1288  0.6237
Ge  0.6237  0.6237  0.1288
Ge  0.6237  0.6237  0.6237